The following is a DFT calculation (GGA-PBE) of a relaxed structure of YHoTh4.

space-group type: No. 47
formation enthalpy at 0 K: 84 meV/atom
total energy: -6.70 eV/atom
M_tot: 0.0 μB per cell

Structure (extended XYZ):
```
6
Lattice="3.492 0.000 0.000 0.000 5.713 0.000 0.000 0.000 9.877" Properties=species:S:1:pos:R:3 pbc="T T T"
Y 0.000 0.000 0.000
Ho 0.000 2.857 4.938
Th 1.746 0.000 3.296
Th 1.746 0.000 6.581
Th 1.746 2.857 1.652
Th 1.746 2.857 8.225
```

=====

The following is a DFT calculation (GGA-PBE) of a relaxed structure of Y3Ho4Th5.

space-group type: No. 12
formation enthalpy at 0 K: 353 meV/atom
total energy: -5.88 eV/atom
M_tot: 0.0 μB per cell

Structure (extended XYZ):
```
12
Lattice="6.302 -2.950 0.000 6.302 2.950 0.000 -1.238 0.000 10.694" Properties=species:S:1:pos:R:3 pbc="T T T"
Y 0.000 0.000 0.000
Y 4.874 0.000 2.653
Y 6.492 0.000 8.041
Ho 1.503 0.000 2.979
Ho 2.011 0.000 9.585
Ho 9.354 0.000 1.109
Ho 9.863 0.000 7.715
Th 0.610 0.000 6.375
Th 3.785 0.000 5.907
Th 6.302 0.000 0.000
Th 7.581 0.000 4.787
Th 10.755 0.000 4.319
```

=====

The following is a DFT calculation (GGA-PBE) of a relaxed structure of Y2Ho3Th3.

space-group type: No. 189
formation enthalpy at 0 K: 153 meV/atom
E above lowest polymorph: 113 meV per atom
total energy: -5.96 eV/atom
M_tot: 0.0 μB per cell

Structure (extended XYZ):
```
8
Lattice="9.085 0.000 0.000 -4.542 7.867 0.000 0.000 0.000 3.598" Properties=species:S:1:pos:R:3 pbc="T T T"
Y 0.000 5.245 0.000
Y 4.542 2.622 0.000
Ho -2.753 4.769 1.799
Ho 1.789 3.098 1.799
Ho 5.507 0.000 1.799
Th -1.033 1.790 0.000
Th 2.067 0.000 0.000
Th 3.509 6.078 0.000
```

=====

The following is a DFT calculation (GGA-PBE) of a relaxed structure of Y3Ho3Th.

space-group type: No. 12
formation enthalpy at 0 K: 154 meV/atom
E above lowest polymorph: 135 meV per atom
total energy: -5.64 eV/atom
M_tot: 0.0 μB per cell

Structure (extended XYZ):
```
14
Lattice="4.424 -4.877 0.000 4.424 4.877 0.000 -0.188 0.000 10.557" Properties=species:S:1:pos:R:3 pbc="T T T"
Y 0.178 0.000 2.669
Y 2.572 1.745 7.949
Y 2.572 -1.745 7.949
Y 6.089 1.745 2.608
Y 6.089 -1.745 2.608
Y 8.483 0.000 7.888
Ho 4.424 3.093 0.000
Ho 4.330 3.020 5.279
Ho 2.779 0.000 4.624
Ho 5.881 0.000 5.933
Ho 4.330 -3.020 5.279
Ho 4.424 -3.093 0.000
Th 2.948 0.000 0.835
Th 5.713 0.000 9.722
```

=====

The following is a DFT calculation (GGA-PBE) of a relaxed structure of Y2Ho7Th.

space-group type: No. 65
formation enthalpy at 0 K: 727 meV/atom
total energy: -4.51 eV/atom
M_tot: 0.0 μB per cell

Structure (extended XYZ):
```
10
Lattice="4.248 -8.921 0.000 4.248 8.921 0.000 0.000 0.000 5.041" Properties=species:S:1:pos:R:3 pbc="T T T"
Y 4.248 5.289 0.000
Y 4.248 -5.289 0.000
Ho 0.000 0.000 0.000
Ho 2.711 1.840 0.000
Ho 4.248 3.395 2.520
Ho 2.711 -1.840 0.000
Ho 5.785 1.840 0.000
Ho 4.248 -3.395 2.520
Ho 5.785 -1.840 0.000
Th 4.248 0.000 2.520
```

=====

The following is a DFT calculation (GGA-PBE) of a relaxed structure of YHo4Th.

space-group type: No. 15
formation enthalpy at 0 K: 157 meV/atom
E above lowest polymorph: 139 meV per atom
total energy: -5.21 eV/atom
M_tot: 0.0 μB per cell

Structure (extended XYZ):
```
12
Lattice="4.369 -7.243 0.000 4.369 7.243 0.000 -2.319 0.000 6.196" Properties=species:S:1:pos:R:3 pbc="T T T"
Y 2.630 5.967 4.647
Y 3.790 -5.967 1.549
Ho -0.272 1.853 5.431
Ho 2.483 2.796 2.886
Ho 0.888 -1.853 2.333
Ho 5.097 2.796 0.212
Ho 1.323 -2.796 5.984
Ho 5.532 1.853 3.863
Ho 3.937 -2.796 3.310
Ho 6.691 -1.853 0.765
Th 3.790 -0.003 1.549
Th 2.630 0.003 4.647
```

=====

The following is a DFT calculation (GGA-PBE) of a relaxed structure of Y5Ho3Th2.

space-group type: No. 15
formation enthalpy at 0 K: 209 meV/atom
total energy: -5.88 eV/atom
M_tot: 0.0 μB per cell

Structure (extended XYZ):
```
20
Lattice="5.363 -8.502 0.000 5.363 8.502 0.000 -5.360 0.000 7.223" Properties=species:S:1:pos:R:3 pbc="T T T"
Y 1.343 8.032 5.417
Y -1.355 2.196 5.427
Y 4.023 3.757 1.806
Y 1.325 -2.196 1.816
Y 4.023 0.518 1.806
Y 1.343 -0.518 5.417
Y 4.041 2.196 5.408
Y 1.343 -3.757 5.417
Y 6.721 -2.196 1.796
Y 4.023 -8.032 1.806
Ho 1.334 2.149 0.304
Ho 1.343 4.797 5.417
Ho -1.346 -2.149 3.916
Ho 6.713 2.149 3.308
Ho 4.023 -4.797 1.806
Ho 4.033 -2.149 6.919
Th 1.332 2.150 3.438
Th -1.348 -2.150 7.050
Th 6.714 2.150 0.173
Th 4.034 -2.150 3.785
```

=====

The following is a DFT calculation (GGA-PBE) of a relaxed structure of Y2HoTh.

space-group type: No. 123
formation enthalpy at 0 K: 131 meV/atom
E above lowest polymorph: 103 meV per atom
total energy: -6.10 eV/atom
M_tot: 0.0 μB per cell

Structure (extended XYZ):
```
4
Lattice="4.154 0.000 0.000 0.000 4.154 0.000 0.000 0.000 7.475" Properties=species:S:1:pos:R:3 pbc="T T T"
Y 0.000 0.000 1.848
Y 0.000 0.000 5.628
Ho 2.077 2.077 3.738
Th 2.077 2.077 0.000
```